Computed, not measured: MgBe2Se after structural relaxation at the PBEsol level of DFT. Values from VASP.

Spin magnetization in μB per atom: 0.00
DOS(E_F) in states/eV/atom: 0.279
Energy above the lowest structure with this stoichiometry in meV per atom: 0

The structure in Quantum ESPRESSO input format:
```
&SYSTEM
  ibrav = 0, nat = 4, ntyp = 3
/
ATOMIC_SPECIES
Mg 24.30 Mg.upf
Be 9.01 Be.upf
Se 78.96 Se.upf
CELL_PARAMETERS angstrom
3.369 0.000 0.000
0.000 3.369 0.000
-0.025 0.000 5.463
ATOMIC_POSITIONS angstrom
Mg 0.000 0.000 0.000
Be 1.658 0.000 3.456
Be 3.345 1.685 3.455
Se 1.661 1.685 1.883
```


Computed, not measured: MgBeSe2 after structural relaxation at the PBEsol level of DFT. Values from VASP.

DFT total energy in eV/cell: -34.60
Spin magnetization in μB per atom: 0.00
DOS(E_F) in states/eV/atom: 0.000

The structure in Quantum ESPRESSO input format:
```
&SYSTEM
  ibrav = 0, nat = 8, ntyp = 3
/
ATOMIC_SPECIES
Mg 24.30 Mg.upf
Be 9.01 Be.upf
Se 78.96 Se.upf
CELL_PARAMETERS angstrom
-2.821 2.821 5.297
2.821 -2.821 5.297
2.821 2.821 -5.297
ATOMIC_POSITIONS angstrom
Mg 0.000 0.000 0.000
Mg 0.000 2.821 2.649
Be 2.821 0.000 2.649
Be 0.000 0.000 5.297
Se 1.411 -1.134 3.973
Se 1.688 1.411 1.324
Se 1.411 3.955 -1.324
Se 1.134 1.411 6.621
```


Computed, not measured: MgBeSe after structural relaxation at the PBEsol level of DFT. Values from VASP.

DFT total energy in eV/cell: -10.57
Spin magnetization in μB per atom: 0.00
DOS(E_F) in states/eV/atom: 0.086

The structure in Quantum ESPRESSO input format:
```
&SYSTEM
  ibrav = 0, nat = 3, ntyp = 3
/
ATOMIC_SPECIES
Mg 24.30 Mg.upf
Be 9.01 Be.upf
Se 78.96 Se.upf
CELL_PARAMETERS angstrom
3.480 0.000 0.000
-1.740 3.014 0.000
0.000 0.000 5.080
ATOMIC_POSITIONS angstrom
Mg 0.000 0.000 0.000
Be 1.740 1.005 3.125
Se 0.000 2.009 2.179
```


Computed, not measured: Mg4BeSe after structural relaxation at the PBEsol level of DFT. Values from VASP.

DFT total energy in eV/cell: -12.42
Spin magnetization in μB per atom: 0.00
DOS(E_F) in states/eV/atom: 0.519

The structure in Quantum ESPRESSO input format:
```
&SYSTEM
  ibrav = 0, nat = 6, ntyp = 3
/
ATOMIC_SPECIES
Mg 24.30 Mg.upf
Be 9.01 Be.upf
Se 78.96 Se.upf
CELL_PARAMETERS angstrom
0.000 3.976 3.976
3.976 0.000 3.976
3.976 3.976 0.000
ATOMIC_POSITIONS angstrom
Mg 0.994 0.994 0.994
Mg 2.982 2.982 0.994
Mg 2.982 0.994 2.982
Mg 0.994 2.982 2.982
Be 3.976 3.976 3.976
Se 5.964 5.964 5.964
```


Computed, not measured: MgBe3Se after structural relaxation at the PBEsol level of DFT. Values from VASP.

DFT total energy in eV/cell: -9.98
Spin magnetization in μB per atom: 0.00
DOS(E_F) in states/eV/atom: 0.512

The structure in Quantum ESPRESSO input format:
```
&SYSTEM
  ibrav = 0, nat = 5, ntyp = 3
/
ATOMIC_SPECIES
Mg 24.30 Mg.upf
Be 9.01 Be.upf
Se 78.96 Se.upf
CELL_PARAMETERS angstrom
4.507 0.000 0.000
0.000 4.507 0.000
0.000 0.000 4.507
ATOMIC_POSITIONS angstrom
Mg 0.000 0.000 0.000
Be 0.000 0.000 2.254
Be 0.000 2.254 0.000
Be 2.254 0.000 0.000
Se 2.254 2.254 2.254
```


Computed, not measured: Mg2BeSi after structural relaxation at the PBEsol level of DFT. Values from VASP.

Spin magnetization in μB per atom: 0.00
DOS(E_F) in states/eV/atom: 0.334
Energy above the lowest structure with this stoichiometry in meV per atom: 2

The structure in Quantum ESPRESSO input format:
```
&SYSTEM
  ibrav = 0, nat = 4, ntyp = 3
/
ATOMIC_SPECIES
Mg 24.30 Mg.upf
Be 9.01 Be.upf
Si 28.09 Si.upf
CELL_PARAMETERS angstrom
4.011 0.000 0.000
0.000 4.011 0.000
0.000 0.000 3.900
ATOMIC_POSITIONS angstrom
Mg 0.000 2.006 0.000
Mg 2.006 0.000 0.000
Be 0.000 0.000 1.950
Si 2.006 2.006 1.950
```